Record 1
# PBE SrNdDy2, optimized geometry
data_SrNdDy2
_chemical_formula_sum 'Sr1 Nd1 Dy2'
_cell_length_a 13.0257
_cell_length_b 13.0257
_cell_length_c 13.0257
_cell_angle_alpha 16.07
_cell_angle_beta 16.07
_cell_angle_gamma 16.07
_space_group_name_H-M_alt 'P 1'
_space_group_IT_number 1
loop_
_space_group_symop_operation_xyz
'x,y,z'
loop_
_atom_site_label
_atom_site_fract_x
_atom_site_fract_y
_atom_site_fract_z
_atom_site_occupancy
Sr1 0.0000 0.0000 0.0000 1
Nd1 0.5000 0.5000 0.5000 1
Dy1 0.0922 0.0922 0.0922 1
Dy2 0.9078 0.9078 0.9078 1
# **Crystal system**: trigonal
# **Excess energy over the best structure of this formula in the dataset**: 2.35 kcal/mol of atoms

---

Record 2
# PBE KHoP, optimized geometry
data_KHoP
_chemical_formula_sum 'K1 Ho1 P1'
_cell_length_a 7.5372
_cell_length_b 7.5372
_cell_length_c 7.5372
_cell_angle_alpha 150.58
_cell_angle_beta 150.58
_cell_angle_gamma 42.09
_space_group_name_H-M_alt 'P 1'
_space_group_IT_number 1
loop_
_space_group_symop_operation_xyz
'x,y,z'
loop_
_atom_site_label
_atom_site_fract_x
_atom_site_fract_y
_atom_site_fract_z
_atom_site_occupancy
K1 0.0000 0.0000 0.0000 1
Ho1 0.2583 0.2583 0.0000 1
P1 0.7224 0.7224 0.0000 1
# **Crystal system**: tetragonal

---

Record 3
# PBE TlCdAu, optimized geometry
data_TlCdAu
_chemical_formula_sum 'Tl1 Cd1 Au1'
_cell_length_a 4.6794
_cell_length_b 4.6794
_cell_length_c 3.9730
_cell_angle_alpha 90.00
_cell_angle_beta 90.00
_cell_angle_gamma 120.00
_space_group_name_H-M_alt 'P 1'
_space_group_IT_number 1
loop_
_space_group_symop_operation_xyz
'x,y,z'
loop_
_atom_site_label
_atom_site_fract_x
_atom_site_fract_y
_atom_site_fract_z
_atom_site_occupancy
Tl1 0.0000 0.0000 0.0000 1
Cd1 0.6667 0.3333 0.5594 1
Au1 0.3333 0.6667 0.3446 1
# **Crystal system**: trigonal

---

Record 4
# PBE RbCaSb3, optimized geometry
data_RbCaSb3
_chemical_formula_sum 'Rb1 Ca1 Sb3'
_cell_length_a 5.8704
_cell_length_b 5.8704
_cell_length_c 5.8704
_cell_angle_alpha 90.00
_cell_angle_beta 90.00
_cell_angle_gamma 90.00
_space_group_name_H-M_alt 'P 1'
_space_group_IT_number 1
loop_
_space_group_symop_operation_xyz
'x,y,z'
loop_
_atom_site_label
_atom_site_fract_x
_atom_site_fract_y
_atom_site_fract_z
_atom_site_occupancy
Rb1 0.0000 0.0000 0.0000 1
Ca1 0.5000 0.5000 0.5000 1
Sb1 0.0000 0.5000 0.5000 1
Sb2 0.5000 0.0000 0.5000 1
Sb3 0.5000 0.5000 0.0000 1
# **Crystal system**: cubic
# **Formation energy from raw total energies**: 0.061 eV/atom
# **Excess energy over the best structure of this formula in the dataset**: 0.00 kcal/mol of atoms

---

Record 5
# PBE MgMnBe2, optimized geometry
data_MgMnBe2
_chemical_formula_sum 'Mg1 Mn1 Be2'
_cell_length_a 4.6801
_cell_length_b 4.6801
_cell_length_c 4.6801
_cell_angle_alpha 137.94
_cell_angle_beta 137.94
_cell_angle_gamma 61.00
_space_group_name_H-M_alt 'P 1'
_space_group_IT_number 1
loop_
_space_group_symop_operation_xyz
'x,y,z'
loop_
_atom_site_label
_atom_site_fract_x
_atom_site_fract_y
_atom_site_fract_z
_atom_site_occupancy
Mg1 0.0000 0.0000 0.0000 1
Mn1 0.2500 0.7500 0.5000 1
Be1 0.5000 0.5000 0.0000 1
Be2 0.7500 0.2500 0.5000 1
# **Crystal system**: tetragonal

---

Record 6
# PBE U3Tl3VS8, optimized geometry
data_U3Tl3VS8
_chemical_formula_sum 'U3 Tl3 V1 S8'
_cell_length_a 8.9322
_cell_length_b 8.9322
_cell_length_c 8.9322
_cell_angle_alpha 51.23
_cell_angle_beta 51.23
_cell_angle_gamma 51.23
_space_group_name_H-M_alt 'P 1'
_space_group_IT_number 1
loop_
_space_group_symop_operation_xyz
'x,y,z'
loop_
_atom_site_label
_atom_site_fract_x
_atom_site_fract_y
_atom_site_fract_z
_atom_site_occupancy
U1 0.0000 0.5000 0.5000 1
U2 0.5000 0.0000 0.5000 1
U3 0.5000 0.5000 0.0000 1
Tl1 0.0000 0.0000 0.5000 1
Tl2 0.0000 0.5000 0.0000 1
Tl3 0.5000 0.0000 0.0000 1
V1 0.0000 0.0000 0.0000 1
S1 0.2192 0.2192 0.7486 1
S2 0.2192 0.7486 0.2192 1
S3 0.2514 0.7808 0.7808 1
S4 0.2660 0.2660 0.2660 1
S5 0.7340 0.7340 0.7340 1
S6 0.7486 0.2192 0.2192 1
S7 0.7808 0.2514 0.7808 1
S8 0.7808 0.7808 0.2514 1
# **Crystal system**: trigonal
# **Formation energy from raw total energies**: -1.021 eV/atom

---

Record 7
# PBE AcTb3Pr4, optimized geometry
data_AcTb3Pr4
_chemical_formula_sum 'Ac1 Tb3 Pr4'
_cell_length_a 14.2388
_cell_length_b 14.2388
_cell_length_c 5.7076
_cell_angle_alpha 101.54
_cell_angle_beta 101.54
_cell_angle_gamma 14.97
_space_group_name_H-M_alt 'P 1'
_space_group_IT_number 1
loop_
_space_group_symop_operation_xyz
'x,y,z'
loop_
_atom_site_label
_atom_site_fract_x
_atom_site_fract_y
_atom_site_fract_z
_atom_site_occupancy
Ac1 0.0000 0.0000 0.0000 1
Tb1 0.3522 0.3522 0.8545 1
Tb2 0.5000 0.5000 0.5000 1
Tb3 0.6478 0.6478 0.1455 1
Pr1 0.1016 0.1016 0.5993 1
Pr2 0.2197 0.2197 0.7203 1
Pr3 0.7803 0.7803 0.2797 1
Pr4 0.8984 0.8984 0.4007 1
# **Crystal system**: monoclinic
# **Excess energy over the best structure of this formula in the dataset**: 2.32 kcal/mol of atoms

---

Record 8
# PBE BeP3, optimized geometry
data_BeP3
_chemical_formula_sum 'Be2 P6'
_cell_length_a 4.7299
_cell_length_b 4.7299
_cell_length_c 4.7299
_cell_angle_alpha 90.00
_cell_angle_beta 90.00
_cell_angle_gamma 90.00
_space_group_name_H-M_alt 'P 1'
_space_group_IT_number 1
loop_
_space_group_symop_operation_xyz
'x,y,z'
loop_
_atom_site_label
_atom_site_fract_x
_atom_site_fract_y
_atom_site_fract_z
_atom_site_occupancy
Be1 0.0000 0.0000 0.0000 1
Be2 0.5000 0.5000 0.5000 1
P1 0.0000 0.2500 0.5000 1
P2 0.0000 0.7500 0.5000 1
P3 0.2500 0.5000 0.0000 1
P4 0.5000 0.0000 0.2500 1
P5 0.5000 0.0000 0.7500 1
P6 0.7500 0.5000 0.0000 1
# **Crystal system**: cubic
# **Excess energy over the best structure of this formula in the dataset**: 20.40 kcal/mol of atoms

---

no.,total energy (eV/atom),total moment (Bohr magnetons per cell)
1,-3.691,0.0
2,-4.309,0.0
3,-2.188,0.0
4,-3.006,0.0
5,-4.189,0.9
6,-6.561,10.0
7,-4.453,0.0
8,-4.255,0.0